GGA-PBE AgPdO2, relaxed; raw total energy = -18.55 eV per formula unit; space-group type = R3m; Fermi-level density of states = 2.027 states/eV/f.u.
1.0
3.125 0.000 0.000
1.562 2.706 0.000
1.562 0.902 6.161
Ag Pd O
1 1 2
direct
0.499 0.499 0.503
0.667 0.667 0.999
0.060 0.060 0.821
0.274 0.274 0.177



GGA-PBE Ag2PdO4, relaxed; space-group type = C2/m; energy above the most stable polymorph in this dataset = 0 meV/atom; Fermi-level density of states = 5.761 states/eV/f.u.
1.0
-2.160 -1.549 1.720
3.448 -2.691 4.822
0.803 3.045 3.758
Ag Pd O
2 1 4
direct
0.697 0.605 0.738
0.303 0.395 0.262
0.000 0.000 0.000
0.847 0.306 0.650
0.153 0.694 0.350
0.547 0.907 0.810
0.453 0.093 0.190



GGA-PBE AgPdO, relaxed; space-group type = Pnnm; energy above the most stable polymorph in this dataset = 86 meV/atom; Fermi-level density of states = 1.273 states/eV/f.u.
1.0
2.993 0.000 0.000
0.000 4.895 0.000
0.000 0.000 12.008
Pd Ag O
4 4 4
direct
0.500 0.271 0.633
0.000 0.771 0.867
0.000 0.229 0.133
0.500 0.729 0.367
0.500 0.242 0.932
0.000 0.742 0.568
0.500 0.758 0.068
0.000 0.258 0.432
0.500 0.440 0.209
0.000 0.060 0.709
0.000 0.940 0.291
0.500 0.560 0.791